1.
{
  "formula": "GaHPd3",
  "functional": "PBE",
  "state": "optimized geometry",
  "lattice_angstrom": [[0.000, 5.234, 5.234], [5.234, 0.000, 5.234], [5.234, 5.234, 0.000]],
  "species": ["Ga", "Ga", "Ga", "Ga", "H", "H", "H", "H", "Pd", "Pd", "Pd", "Pd", "Pd", "Pd", "Pd", "Pd", "Pd", "Pd", "Pd", "Pd"],
  "fractional_positions": [[0.000, 0.000, 0.000], [0.000, 0.000, 0.500], [0.000, 0.500, 0.000], [0.500, 0.000, 0.000], [0.000, 0.500, 0.500], [0.500, 0.000, 0.500], [0.500, 0.500, 0.000], [0.500, 0.500, 0.500], [0.176, 0.176, 0.574], [0.176, 0.574, 0.176], [0.176, 0.574, 0.574], [0.426, 0.426, 0.824], [0.426, 0.824, 0.426], [0.426, 0.824, 0.824], [0.574, 0.176, 0.176], [0.574, 0.176, 0.574], [0.574, 0.574, 0.176], [0.824, 0.426, 0.426], [0.824, 0.426, 0.824], [0.824, 0.824, 0.426]],
  "polymorph_energy_ev_per_atom": 0.185,
  "magmom_total_mub_per_cell": 0.000,
  "e_tot_ev_per_atom": -4.65
}

=====

2.
{
  "formula": "LiHoEr",
  "functional": "PBE",
  "state": "optimized geometry",
  "lattice_angstrom": [[-1.801, 1.801, 6.257], [1.801, -1.801, 6.257], [1.801, 1.801, -6.257]],
  "species": ["Li", "Ho", "Er"],
  "fractional_positions": [[0.000, 0.000, 0.000], [0.344, 0.344, 0.000], [0.654, 0.654, 0.000]],
  "polymorph_energy_ev_per_atom": 0.000,
  "magmom_total_mub_per_cell": 0.066,
  "formation_energy_ev_per_fu": 0.3,
  "e_tot_ev_per_atom": -3.59
}

=====

3.
{
  "formula": "PmZn2Sn",
  "functional": "PBE",
  "state": "optimized geometry",
  "lattice_angstrom": [[4.434, 0.000, 0.000], [0.000, 4.434, 0.000], [0.000, 0.000, 4.479]],
  "species": ["Pm", "Zn", "Zn", "Sn"],
  "fractional_positions": [[0.000, 0.000, 0.000], [0.000, 0.500, 0.500], [0.500, 0.000, 0.500], [0.500, 0.500, 0.000]],
  "magmom_total_mub_per_cell": 0.000,
  "formation_energy_ev_per_fu": -1.6,
  "e_tot_ev_per_atom": -3.22
}

=====

4.
{
  "formula": "CdTc2Se",
  "functional": "PBE",
  "state": "optimized geometry",
  "lattice_angstrom": [[1.492, 0.862, 8.549], [-1.492, 0.862, 8.549], [0.000, -1.723, 8.549]],
  "species": ["Cd", "Tc", "Tc", "Se"],
  "fractional_positions": [[0.000, 0.000, 0.000], [0.239, 0.239, 0.239], [0.761, 0.761, 0.761], [0.500, 0.500, 0.500]],
  "e_form_raw_mev_per_atom": 345,
  "polymorph_energy_ev_per_atom": 0.245,
  "magmom_total_mub_per_cell": 0.348,
  "e_tot_ev_per_atom": -5.94
}